(1)
Below is an optimized crystal structure of Tm2Be2ZnNi5, with properties calculated at the GGA-PBE level.

Output
ρ = 9.0 g/cm³
ΔE_f = -404 meV/atom
E = -101.24 eV/cell

```
Tm2Be2ZnNi5
1.0
8.931 0.000 0.000
0.000 8.931 0.000
0.000 0.000 3.317
Tm Be Zn Ni
4 4 2 10
Direct
0.181 0.319 0.000
0.319 0.819 0.000
0.681 0.181 0.000
0.819 0.681 0.000
0.113 0.613 0.000
0.387 0.113 0.000
0.613 0.887 0.000
0.887 0.387 0.000
0.000 0.000 0.000
0.500 0.500 0.000
0.000 0.500 0.500
0.065 0.781 0.500
0.219 0.065 0.500
0.281 0.565 0.500
0.435 0.281 0.500
0.500 0.000 0.500
0.565 0.719 0.500
0.719 0.435 0.500
0.781 0.935 0.500
0.935 0.219 0.500
```

***

(2)
Below is an optimized crystal structure of UBeNi, with properties calculated at the GGA-PBE level.

Output
ρ = 12.0 g/cm³
ΔE_f = -139 meV/atom
E = -84.85 eV/cell

```
UBeNi
1.0
7.137 0.000 0.000
0.000 4.039 0.000
0.000 0.000 5.886
U Be Ni
4 4 4
Direct
0.012 0.250 0.142
0.488 0.750 0.642
0.512 0.250 0.358
0.988 0.750 0.858
0.187 0.250 0.614
0.313 0.750 0.114
0.687 0.250 0.886
0.813 0.750 0.386
0.126 0.750 0.428
0.374 0.250 0.928
0.626 0.750 0.072
0.874 0.250 0.572
```

***

(3)
Below is an optimized crystal structure of UBeNi2, with properties calculated at the GGA-PBE level.

Output
ρ = 11.5 g/cm³
ΔE_f = 108 meV/atom
relative energy among the computed polymorphs = 1.14 eV per formula unit
E = -26.14 eV/cell

```
UBeNi2
1.0
1.360 0.785 8.188
-1.360 0.785 8.188
0.000 -1.570 8.188
U Be Ni
1 1 2
Direct
0.000 0.000 0.000
0.500 0.500 0.500
0.232 0.232 0.232
0.768 0.768 0.768
```

***

(4)
Below is an optimized crystal structure of UBe4Ni8, with properties calculated at the GGA-PBE level.

Output
ρ = 8.9 g/cm³
ΔE_f = -338 meV/atom
E = -76.84 eV/cell

```
UBe4Ni8
1.0
-3.903 3.903 2.287
3.903 -3.903 2.287
3.903 3.903 -2.287
U Be Ni
1 4 8
Direct
0.000 0.000 0.000
0.000 0.000 0.500
0.000 0.500 0.000
0.500 0.000 0.000
0.500 0.500 0.500
0.000 0.343 0.343
0.000 0.657 0.657
0.276 0.500 0.776
0.343 0.000 0.343
0.500 0.276 0.776
0.500 0.724 0.224
0.657 0.000 0.657
0.724 0.500 0.224
```

***

(5)
Below is an optimized crystal structure of UBeNi2, with properties calculated at the GGA-PBE level.

Output
ρ = 11.9 g/cm³
ΔE_f = -177 meV/atom
relative energy among the computed polymorphs = 0.00 eV per formula unit
E = -27.29 eV/cell

```
UBeNi2
1.0
2.788 0.000 0.000
0.000 2.788 0.000
0.000 0.000 6.548
U Be Ni
1 1 2
Direct
0.000 0.000 0.000
0.000 0.000 0.500
0.500 0.500 0.312
0.500 0.500 0.688
```

***

(6)
Below is an optimized crystal structure of BeVNi2, with properties calculated at the GGA-PBE level.

Output
ρ = 6.7 g/cm³
ΔE_f = -72 meV/atom
E = -24.70 eV/cell

```
BeVNi2
1.0
3.650 0.000 0.000
0.000 3.650 0.000
0.000 0.000 3.305
Be V Ni
1 1 2
Direct
0.000 0.000 0.000
0.500 0.500 0.000
0.000 0.500 0.500
0.500 0.000 0.500
```

***

(7)
Below is an optimized crystal structure of BeVNi6, with properties calculated at the GGA-PBE level.

Output
ρ = 7.8 g/cm³
ΔE_f = 40 meV/atom
relative energy among the computed polymorphs = 2.17 eV per formula unit
E = -47.22 eV/cell

```
BeVNi6
1.0
2.892 -3.936 0.000
2.892 3.936 0.000
-2.854 0.000 3.854
Be V Ni
1 1 6
Direct
0.000 0.000 0.000
0.500 0.500 0.500
0.229 0.752 0.749
0.248 0.771 0.251
0.250 0.250 0.772
0.750 0.750 0.228
0.752 0.229 0.749
0.771 0.248 0.251
```

***

(8)
Below is an optimized crystal structure of BeVNi2, with properties calculated at the GGA-PBE level.

Output
ρ = 7.1 g/cm³
ΔE_f = -342 meV/atom
E = -25.78 eV/cell

```
BeVNi2
1.0
2.542 0.000 0.000
0.000 2.542 0.000
0.000 0.000 6.430
Be V Ni
1 1 2
Direct
0.000 0.000 0.000
0.000 0.000 0.500
0.500 0.500 0.212
0.500 0.500 0.788
```